Entry 1:
## CaAcPtPb (PBE)

Data for an optimized crystal structure of CaAcPtPb.

Unit cell a=5.4554 b=5.4554 c=5.4554 alpha=60.00 beta=60.00 gamma=60.00
With the nearest neighbours (Å) after each atom.
Positions (direct):
Ca 0.0000 0.0000 0.0000  4 Pb 3.34, 4 Pt 3.34
Ac 0.5000 0.5000 0.5000  4 Pb 3.34, 4 Pt 3.34
Pt 0.2500 0.2500 0.2500  4 Ac 3.34, 4 Ca 3.34
Pb 0.7500 0.7500 0.7500  4 Ac 3.34, 4 Ca 3.34

Total DFT energy (no corrections) (eV for the cell shown): -18.41
Crystal system: cubic

Entry 2:
## CaAcPuPb (PBE)

Data for an optimized crystal structure of CaAcPuPb.

Unit cell a=5.6954 b=5.6954 c=5.6954 alpha=60.00 beta=60.00 gamma=60.00
With the nearest neighbours (Å) after each atom.
Positions (direct):
Ca 0.0000 0.0000 0.0000  4 Ac 3.49, 4 Pb 3.49
Ac 0.2500 0.2500 0.2500  4 Pu 3.49, 4 Ca 3.49
Pu 0.5000 0.5000 0.5000  4 Ac 3.49, 4 Pb 3.49
Pb 0.7500 0.7500 0.7500  4 Pu 3.49, 4 Ca 3.49

Total DFT energy (no corrections) (eV for the cell shown): -23.83
Crystal system: cubic

Number 1: ΔH_f (0 K) -0.638 eV/atom, density 9.68 Mg/m³. Number 2: ΔH_f (0 K) 0.081 eV/atom, density 9.13 Mg/m³.